[1]
## LuPb2Au (PBE)

Data for a relaxed structure of LuPb2Au.

abc: 5.2675 5.2675 5.2675
angles: 60.00 60.00 60.00
With the nearest neighbours (Å) after each atom.
Fractional positions:
Au 0.5000 0.5000 0.5000  4 Lu 3.23, 4 Pb 3.23
Pb 0.7500 0.7500 0.7500  4 Au 3.23, 4 Pb 3.23
Pb 0.0000 0.0000 0.0000  4 Pb 3.23, 4 Lu 3.23
Lu 0.2500 0.2500 0.2500  4 Au 3.23, 4 Pb 3.23

Output
Space group: F-43m, No. 216
Raw total energy: -4.011 eV/atom


[2]
## LuPbAuS3 (PBE)

Data for a relaxed structure of LuPbAuS3.

abc: 10.4093 3.9431 13.1533
angles: 90.00 90.00 90.00
With the nearest neighbours (Å) after each atom.
Fractional positions:
Au 0.2619 0.7500 0.2932  4 S 2.45-2.62
Pb 0.7237 0.7500 0.5016  7 S 2.96-3.26
S 0.5261 0.2500 0.6183  1 Au 2.49, 2 Lu 2.73
Lu 0.4810 0.7500 0.7575  6 S 2.71-2.90
S 0.5641 0.7500 0.1060  1 Au 2.45, 2 Lu 2.71
Au 0.7619 0.7500 0.2068  4 S 2.45-2.62
Pb 0.2763 0.2500 0.4984  7 S 2.96-3.26
Lu 0.5190 0.2500 0.2425  6 S 2.71-2.90
Lu 0.0190 0.2500 0.2575  6 S 2.71-2.90
S 0.9739 0.7500 0.1183  1 Au 2.49, 2 Lu 2.73
S 0.2300 0.7500 0.6624  2 Au 2.62, 2 Lu 2.80-2.90
S 0.0261 0.2500 0.8817  1 Au 2.49, 2 Lu 2.73
S 0.9359 0.2500 0.6060  1 Au 2.45, 2 Lu 2.71
S 0.2700 0.2500 0.1624  2 Au 2.62, 2 Lu 2.80-2.90
Pb 0.7763 0.2500 0.0016  7 S 2.96-3.26
Au 0.7381 0.2500 0.7068  4 S 2.45-2.62
Lu 0.9810 0.7500 0.7425  6 S 2.71-2.90
S 0.0641 0.7500 0.3940  1 Au 2.45, 2 Lu 2.71
S 0.4739 0.7500 0.3817  1 Au 2.49, 2 Lu 2.73
Pb 0.2237 0.7500 0.9984  7 S 2.96-3.26
S 0.4359 0.2500 0.8940  1 Au 2.45, 2 Lu 2.71
S 0.7700 0.2500 0.3376  2 Au 2.62, 2 Lu 2.80-2.90
Au 0.2381 0.2500 0.7932  4 S 2.45-2.62
S 0.7300 0.7500 0.8376  2 Au 2.62, 2 Lu 2.80-2.90

Output
Space group: Pnma, No. 62
ΔE to the lowest computed polymorph: 90 meV per atom


[3]
## LuPbAuS3 (PBE)

Data for a relaxed structure of LuPbAuS3.

abc: 13.1635 3.9373 10.4993
angles: 90.00 90.00 90.00
With the nearest neighbours (Å) after each atom.
Fractional positions:
S 0.6192 0.7500 0.6332  3 Au 2.66-2.80, 1 Lu 2.72
Pb 0.7290 0.2500 0.4605  7 S 2.98-3.33
Au 0.5133 0.7500 0.4022  3 S 2.46-2.66
S 0.3984 0.7500 0.0628  3 Lu 2.69-2.73, 2 Pb 2.98
Au 0.4867 0.2500 0.5978  3 S 2.46-2.66
Pb 0.7710 0.7500 0.9605  7 S 2.98-3.33
S 0.6462 0.7500 0.2369  1 Au 2.46, 2 Lu 2.72
S 0.3808 0.2500 0.3668  3 Au 2.66-2.80, 1 Lu 2.72
Lu 0.5146 0.2500 0.1690  6 S 2.69-2.73
Au 0.0133 0.7500 0.0978  3 S 2.46-2.66
Lu 0.9854 0.7500 0.6690  6 S 2.69-2.73
S 0.8984 0.7500 0.4372  3 Lu 2.69-2.73, 2 Pb 2.98
S 0.6016 0.2500 0.9372  3 Lu 2.69-2.73, 2 Pb 2.98
Lu 0.4854 0.7500 0.8310  6 S 2.69-2.73
S 0.3538 0.2500 0.7631  1 Au 2.46, 2 Lu 2.72
S 0.8538 0.2500 0.7369  1 Au 2.46, 2 Lu 2.72
Lu 0.0146 0.2500 0.3310  6 S 2.69-2.73
S 0.1462 0.7500 0.2631  1 Au 2.46, 2 Lu 2.72
Au 0.9867 0.2500 0.9022  3 S 2.46-2.66
Pb 0.2290 0.2500 0.0395  7 S 2.98-3.33
S 0.1192 0.7500 0.8668  3 Au 2.66-2.80, 1 Lu 2.72
S 0.8808 0.2500 0.1332  3 Au 2.66-2.80, 1 Lu 2.72
Pb 0.2710 0.7500 0.5395  7 S 2.98-3.33
S 0.1016 0.2500 0.5628  3 Lu 2.69-2.73, 2 Pb 2.98

Output
Space group: Pnma, No. 62
ΔE to the lowest computed polymorph: 85 meV per atom


[4]
## LuPbAuS3 (PBE)

Data for a relaxed structure of LuPbAuS3.

abc: 8.9217 8.9217 8.2379
angles: 102.00 102.00 25.08
With the nearest neighbours (Å) after each atom.
Fractional positions:
Pb 0.1321 0.1321 0.0804  7 S 2.97-3.17
Au 0.4594 0.4594 0.2788  4 S 2.51-2.65
S 0.6759 0.6759 0.3675  3 Lu 2.70-2.74
Lu 0.1638 0.1638 0.5885  6 S 2.70-2.79
S 0.3241 0.3241 0.6325  3 Lu 2.70-2.74
Lu 0.8362 0.8362 0.4115  6 S 2.70-2.79
Pb 0.8679 0.8679 0.9196  7 S 2.97-3.17
S 0.5000 0.5000 0.0000  2 Au 2.54
Au 0.5406 0.5406 0.7212  4 S 2.51-2.65
S 0.6873 0.6873 0.8221  1 Au 2.51, 2 Lu 2.70
S 0.0000 0.0000 0.5000  4 Au 2.65, 2 Lu 2.79
S 0.3127 0.3127 0.1779  1 Au 2.51, 2 Lu 2.70

Output
Space group: C2/m, No. 12
ΔE to the lowest computed polymorph: 92 meV per atom


[5]
## LuPbAuS3 (PBE)

Data for a relaxed structure of LuPbAuS3.

abc: 7.4734 7.4734 10.2831
angles: 90.00 90.00 31.26
With the nearest neighbours (Å) after each atom.
Fractional positions:
Au 0.3575 0.3575 0.2500  2 S 2.33
Pb 0.3097 0.3097 0.7500  4 S 2.81-2.97, 2 Au 3.14
S 0.6252 0.6252 0.5246  1 Au 2.33
Lu 0.0000 0.0000 0.0000  6 S 2.69-2.71
S 0.3748 0.3748 0.4754  1 Au 2.33
S 0.9458 0.9458 0.7500  2 Lu 2.69, 2 Pb 2.81
S 0.0542 0.0542 0.2500  2 Lu 2.69, 2 Pb 2.81
S 0.6252 0.6252 0.9754  1 Au 2.33
Au 0.6425 0.6425 0.7500  2 S 2.33
Pb 0.6903 0.6903 0.2500  4 S 2.81-2.97, 2 Au 3.14
S 0.3748 0.3748 0.0246  1 Au 2.33
Lu 0.0000 0.0000 0.5000  6 S 2.69-2.71

Output
Space group: Cmcm, No. 63
ΔE to the lowest computed polymorph: 1 meV per atom


[6]
## LuPbAuS3 (PBE)

Data for a relaxed structure of LuPbAuS3.

abc: 7.6408 3.9428 9.6300
angles: 90.00 107.26 90.00
With the nearest neighbours (Å) after each atom.
Fractional positions:
S 0.4299 0.7500 0.6272  3 Lu 2.66-2.74
S 0.3189 0.7500 0.0480  2 Au 2.54, 1 Lu 2.81
Pb 0.2646 0.2500 0.7915  7 S 3.03-3.14, 1 Au 3.31
S 0.0656 0.2500 0.3270  1 Au 2.50, 2 Lu 2.70
Pb 0.7354 0.7500 0.2085  7 S 3.03-3.14, 1 Au 3.31
Lu 0.6886 0.2500 0.6617  6 S 2.66-2.81
S 0.6811 0.2500 0.9520  2 Au 2.54, 1 Lu 2.81
S 0.5701 0.2500 0.3728  3 Lu 2.66-2.74
Lu 0.3114 0.7500 0.3383  6 S 2.66-2.81
Au 0.8713 0.7500 0.9130  3 S 2.50-2.54
Au 0.1287 0.2500 0.0870  3 S 2.50-2.54
S 0.9344 0.7500 0.6730  1 Au 2.50, 2 Lu 2.70

Output
Space group: P2_1/m, No. 11
ΔE to the lowest computed polymorph: 73 meV per atom


[7]
## LuPbAuS3 (PBE)

Data for a relaxed structure of LuPbAuS3.

abc: 10.0630 4.0317 14.6822
angles: 90.00 90.00 90.00
With the nearest neighbours (Å) after each atom.
Fractional positions:
Pb 0.0195 0.2500 0.2996  3 S 2.79-2.89
S 0.3270 0.2500 0.9743  1 Au 2.33
Au 0.7457 0.2500 0.6745  2 S 2.32-2.33
Au 0.7543 0.7500 0.1745  2 S 2.32-2.33
S 0.1694 0.2500 0.6762  1 Au 2.32
S 0.4772 0.7500 0.6031  3 Lu 2.67-2.74, 1 Pb 2.89
Lu 0.3331 0.2500 0.5243  6 S 2.67-2.77
S 0.8270 0.2500 0.5257  1 Au 2.33
S 0.5228 0.2500 0.3969  3 Lu 2.67-2.74, 1 Pb 2.89
S 0.9772 0.7500 0.8969  3 Lu 2.67-2.74, 1 Pb 2.89
Au 0.2543 0.7500 0.3255  2 S 2.32-2.33
S 0.6694 0.2500 0.8238  1 Au 2.32
Pb 0.5195 0.2500 0.2004  3 S 2.79-2.89
S 0.1730 0.7500 0.4743  1 Au 2.33
Lu 0.6669 0.7500 0.4757  6 S 2.67-2.77
S 0.3306 0.7500 0.1762  1 Au 2.32
Pb 0.4805 0.7500 0.7996  3 S 2.79-2.89
Lu 0.8331 0.2500 0.9757  6 S 2.67-2.77
S 0.6730 0.7500 0.0257  1 Au 2.33
Lu 0.1669 0.7500 0.0243  6 S 2.67-2.77
S 0.0228 0.2500 0.1031  3 Lu 2.67-2.74, 1 Pb 2.89
Pb 0.9805 0.7500 0.7004  3 S 2.79-2.89
S 0.8306 0.7500 0.3238  1 Au 2.32
Au 0.2457 0.2500 0.8255  2 S 2.32-2.33

Output
Space group: Pnma, No. 62
ΔE to the lowest computed polymorph: 0 meV per atom


[8]
## LuPbAuS3 (PBE)

Data for a relaxed structure of LuPbAuS3.

abc: 11.6324 3.9939 12.6869
angles: 90.00 90.00 90.00
With the nearest neighbours (Å) after each atom.
Fractional positions:
S 0.9061 0.2500 0.4404  1 Au 2.35
S 0.0335 0.2500 0.2021  1 Au 2.35
Pb 0.6537 0.7500 0.5560  3 S 2.74-2.86
Pb 0.8463 0.2500 0.0560  3 S 2.74-2.86
S 0.4665 0.7500 0.7021  1 Au 2.35
Au 0.2202 0.2500 0.1312  2 S 2.35
S 0.2438 0.2500 0.8220  1 Lu 2.64, 2 Pb 2.74
Au 0.7202 0.2500 0.3688  2 S 2.35
S 0.7438 0.2500 0.6780  1 Lu 2.64, 2 Pb 2.74
S 0.5939 0.7500 0.9404  1 Au 2.35
S 0.0939 0.7500 0.5596  1 Au 2.35
Pb 0.3463 0.2500 0.4440  3 S 2.74-2.86
Au 0.2798 0.7500 0.6312  2 S 2.35
Pb 0.1537 0.7500 0.9440  3 S 2.74-2.86
S 0.2562 0.7500 0.3220  1 Lu 2.64, 2 Pb 2.74
Lu 0.5308 0.7500 0.1521  6 S 2.64-2.78
Lu 0.0308 0.7500 0.3479  6 S 2.64-2.78
S 0.4061 0.2500 0.0596  1 Au 2.35
S 0.9665 0.7500 0.7979  1 Au 2.35
Au 0.7798 0.7500 0.8688  2 S 2.35
S 0.5335 0.2500 0.2979  1 Au 2.35
Lu 0.9692 0.2500 0.6521  6 S 2.64-2.78
Lu 0.4692 0.2500 0.8479  6 S 2.64-2.78
S 0.7562 0.7500 0.1780  1 Lu 2.64, 2 Pb 2.74

Output
Space group: Pnma, No. 62
ΔE to the lowest computed polymorph: 65 meV per atom